Al2VRe2 | PBE | relaxed

abc: 9.0971 3.1759 6.6397
angles: 90.00 131.39 90.00
Space group Cm (No. 8)
One atom of each set of equivalent atoms:
1 Al 0.0000 0.0000 0.0000 [2 per cell]
2 Al 0.1026 0.5000 0.4062 [2 per cell]
3 V 0.4116 0.0000 0.6086 [2 per cell]
4 Re 0.1913 0.0000 0.7954 [2 per cell]
5 Re 0.3029 0.5000 0.2108 [2 per cell]

Output
E: -0.3140 hartree per atom
V: 14.39 Å³/atom
Density of states at the Fermi level: 0.696 states/eV per atom